# 1
Gd2C4SeBr: relaxed, PBE.

a = 4.4693 Å, b = 4.4693 Å, c = 7.7992 Å
α = 90.00°, β = 90.00°, γ = 120.00°
Atoms (fractional coordinates):
Gd  0.0000  0.0000  0.2437
Gd  0.0000  0.0000  0.7563
C  0.3333  0.6667  0.4176
C  0.3333  0.6667  0.5824
C  0.6667  0.3333  0.0835
C  0.6667  0.3333  0.9165
Se  0.3333  0.6667  0.0000
Br  0.6667  0.3333  0.5000

***

# 2
Sm2Gd2CBr5: relaxed, PBE.

a = 9.2105 Å, b = 9.2105 Å, c = 8.2831 Å
α = 102.78°, β = 102.78°, γ = 24.38°
Atoms (fractional coordinates):
Sm  0.0013  0.0013  0.2958
Sm  0.9987  0.9987  0.7042
Gd  0.3611  0.3611  0.4269
Gd  0.6389  0.6389  0.5731
C  0.5000  0.5000  0.5000
Br  0.1655  0.1655  0.8373
Br  0.1719  0.1719  0.3344
Br  0.5000  0.5000  0.0000
Br  0.8281  0.8281  0.6656
Br  0.8345  0.8345  0.1627

***

# 3
GdTmC2Br2: relaxed, PBE.

a = 3.9904 Å, b = 3.9904 Å, c = 10.9541 Å
α = 94.15°, β = 94.15°, γ = 56.39°
Atoms (fractional coordinates):
Gd  0.0000  0.0000  0.0000
Tm  0.2897  0.2897  0.2636
C  0.5698  0.5698  0.1707
C  0.7200  0.7200  0.1033
Br  0.3200  0.3200  0.8247
Br  0.9648  0.9648  0.4326

***

# 4
Gd2Tm2CBr5: relaxed, PBE.

a = 10.2684 Å, b = 10.2684 Å, c = 8.1619 Å
α = 101.34°, β = 101.34°, γ = 21.36°
Atoms (fractional coordinates):
Gd  0.9998  0.9998  0.2042
Gd  0.0002  0.0002  0.7958
Tm  0.3825  0.3825  0.9410
Tm  0.6175  0.6175  0.0590
C  0.5000  0.5000  0.0000
Br  0.1493  0.1493  0.3172
Br  0.1507  0.1507  0.8322
Br  0.5000  0.5000  0.5000
Br  0.8493  0.8493  0.1678
Br  0.8507  0.8507  0.6828

***

# 5
GdYCBr2: relaxed, PBE.

a = 3.7885 Å, b = 3.7885 Å, c = 10.6050 Å
α = 90.00°, β = 90.00°, γ = 120.00°
Atoms (fractional coordinates):
Gd  0.0000  0.0000  0.0000
Y  0.3333  0.6667  0.2550
C  0.6667  0.3333  0.1283
Br  0.0000  0.0000  0.4363
Br  0.3333  0.6667  0.8151

***

# 6
Gd2Y2CBr5: relaxed, PBE.

a = 9.1542 Å, b = 9.1542 Å, c = 8.1986 Å
α = 102.51°, β = 102.51°, γ = 24.23°
Atoms (fractional coordinates):
Gd  0.0011  0.0011  0.2972
Gd  0.9989  0.9989  0.7028
Y  0.3624  0.3624  0.4289
Y  0.6376  0.6376  0.5711
C  0.5000  0.5000  0.5000
Br  0.1643  0.1643  0.8360
Br  0.1710  0.1710  0.3314
Br  0.5000  0.5000  0.0000
Br  0.8290  0.8290  0.6686
Br  0.8357  0.8357  0.1640

***

# 7
GdYC2Br2: relaxed, PBE.

a = 4.0289 Å, b = 4.0289 Å, c = 11.0131 Å
α = 93.97°, β = 93.97°, γ = 56.50°
Atoms (fractional coordinates):
Gd  0.0000  0.0000  0.0000
Y  0.2895  0.2895  0.2648
C  0.5702  0.5702  0.1674
C  0.7187  0.7187  0.1007
Br  0.3215  0.3215  0.8271
Br  0.9668  0.9668  0.4355

***

# 8
HgH7C7Br2N2: relaxed, PBE.

a = 9.6548 Å, b = 9.6548 Å, c = 16.3902 Å
α = 105.92°, β = 105.92°, γ = 44.36°
Atoms (fractional coordinates):
Hg  0.1494  0.8070  0.9018
Hg  0.1930  0.8506  0.5982
Hg  0.8070  0.1494  0.4018
Hg  0.8506  0.1930  0.0982
H  0.1230  0.6724  0.4196
H  0.1346  0.3992  0.3485
H  0.1497  0.2550  0.9390
H  0.1828  0.6212  0.2243
H  0.1838  0.3567  0.0934
H  0.2478  0.3950  0.2205
H  0.2550  0.1497  0.4390
H  0.3276  0.8770  0.0804
H  0.3567  0.1838  0.5934
H  0.3665  0.4574  0.3028
H  0.3788  0.8172  0.2757
H  0.3950  0.2478  0.7205
H  0.3992  0.1346  0.8485
H  0.4574  0.3665  0.8028
H  0.5426  0.6335  0.1972
H  0.6008  0.8654  0.1515
H  0.6050  0.7522  0.2795
H  0.6212  0.1828  0.7243
H  0.6335  0.5426  0.6972
H  0.6433  0.8162  0.4066
H  0.6724  0.1230  0.9196
H  0.7450  0.8503  0.5610
H  0.7522  0.6050  0.7795
H  0.8162  0.6433  0.9066
H  0.8172  0.3788  0.7757
H  0.8503  0.7450  0.0610
H  0.8654  0.6008  0.6515
H  0.8770  0.3276  0.5804
C  0.1756  0.5597  0.4556
C  0.1828  0.4075  0.4166
C  0.2496  0.2700  0.4666
C  0.2700  0.2496  0.9666
C  0.2889  0.3070  0.0534
C  0.2982  0.4441  0.5889
C  0.3070  0.2889  0.5534
C  0.3075  0.4630  0.2351
C  0.3635  0.4651  0.6805
C  0.4075  0.1828  0.9166
C  0.4403  0.8244  0.0444
C  0.4441  0.2982  0.0889
C  0.4630  0.3075  0.7351
C  0.4651  0.3635  0.1805
C  0.5349  0.6365  0.8195
C  0.5370  0.6925  0.2649
C  0.5559  0.7018  0.9111
C  0.5597  0.1756  0.9556
C  0.5925  0.8172  0.0834
C  0.6365  0.5349  0.3195
C  0.6925  0.5370  0.7649
C  0.6930  0.7111  0.4466
C  0.7018  0.5559  0.4111
C  0.7111  0.6930  0.9466
C  0.7300  0.7504  0.0334
C  0.7504  0.7300  0.5334
C  0.8172  0.5925  0.5834
C  0.8244  0.4403  0.5444
Br  0.0420  0.2828  0.1933
Br  0.1143  0.7843  0.0677
Br  0.2157  0.8857  0.4323
Br  0.2828  0.0420  0.6933
Br  0.7172  0.9580  0.3067
Br  0.7843  0.1143  0.5677
Br  0.8857  0.2157  0.9323
Br  0.9580  0.7172  0.8067
N  0.2328  0.5761  0.5390
N  0.3391  0.6198  0.7085
N  0.3802  0.6609  0.7915
N  0.4239  0.7672  0.9610
N  0.5761  0.2328  0.0390
N  0.6198  0.3391  0.2085
N  0.6609  0.3802  0.2915
N  0.7672  0.4239  0.4610

***

# 9
HgH12C9BrN: relaxed, PBE.

a = 14.7753 Å, b = 12.8483 Å, c = 5.6734 Å
α = 90.00°, β = 90.00°, γ = 90.00°
Atoms (fractional coordinates):
Hg  0.0182  0.1246  0.0000
Hg  0.4818  0.6246  0.5000
Hg  0.5182  0.3754  0.0000
Hg  0.9818  0.8754  0.5000
H  0.0135  0.2324  0.5176
H  0.0580  0.5316  0.9182
H  0.0607  0.3594  0.5178
H  0.1284  0.3595  0.0192
H  0.1380  0.7509  0.2269
H  0.1427  0.1304  0.5426
H  0.1829  0.4772  0.6476
H  0.2006  0.3877  0.2640
H  0.2025  0.2487  0.6033
H  0.2207  0.5852  0.2998
H  0.2297  0.2862  0.0626
H  0.2399  0.1638  0.3729
H  0.2601  0.6638  0.8729
H  0.2703  0.7862  0.5626
H  0.2793  0.0852  0.7998
H  0.2975  0.7487  0.1033
H  0.2994  0.8877  0.7640
H  0.3171  0.9772  0.1476
H  0.3573  0.6304  0.0426
H  0.3620  0.2509  0.7269
H  0.3716  0.8595  0.5192
H  0.4393  0.8594  0.0178
H  0.4420  0.0316  0.4182
H  0.4865  0.7324  0.0176
H  0.5135  0.2676  0.5176
H  0.5580  0.9684  0.9182
H  0.5607  0.1406  0.5178
H  0.6284  0.1405  0.0192
H  0.6380  0.7491  0.2269
H  0.6427  0.3696  0.5426
H  0.6829  0.0228  0.6476
H  0.7006  0.1123  0.2640
H  0.7025  0.2513  0.6033
H  0.7207  0.9148  0.2998
H  0.7297  0.2138  0.0626
H  0.7399  0.3362  0.3729
H  0.7601  0.8362  0.8729
H  0.7703  0.7138  0.5626
H  0.7793  0.4148  0.7998
H  0.7975  0.7513  0.1033
H  0.7994  0.6123  0.7640
H  0.8171  0.5228  0.1476
H  0.8573  0.8696  0.0426
H  0.8620  0.2491  0.7269
H  0.8716  0.6405  0.5192
H  0.9393  0.6406  0.0178
H  0.9420  0.4684  0.4182
H  0.9865  0.7676  0.0176
C  0.0291  0.6729  0.7285
C  0.0425  0.2930  0.4024
C  0.0525  0.7348  0.5339
C  0.0760  0.5796  0.7662
C  0.1202  0.7028  0.3785
C  0.1451  0.5487  0.6139
C  0.1667  0.6096  0.4186
C  0.1730  0.3245  0.1525
C  0.1798  0.1954  0.4611
C  0.3202  0.6954  0.9611
C  0.3270  0.8245  0.6525
C  0.3333  0.1096  0.9186
C  0.3549  0.0487  0.1139
C  0.3798  0.2028  0.8785
C  0.4240  0.0796  0.2662
C  0.4475  0.2348  0.0339
C  0.4575  0.7930  0.9024
C  0.4709  0.1729  0.2285
C  0.5291  0.8271  0.7285
C  0.5425  0.2070  0.4024
C  0.5525  0.7652  0.5339
C  0.5760  0.9204  0.7662
C  0.6202  0.7972  0.3785
C  0.6451  0.9513  0.6139
C  0.6667  0.8904  0.4186
C  0.6730  0.1755  0.1525
C  0.6798  0.3046  0.4611
C  0.8202  0.8046  0.9611
C  0.8270  0.6755  0.6525
C  0.8333  0.3904  0.9186
C  0.8549  0.4513  0.1139
C  0.8798  0.2972  0.8785
C  0.9240  0.4204  0.2662
C  0.9475  0.2652  0.0339
C  0.9575  0.7070  0.9024
C  0.9709  0.3271  0.2285
Br  0.1057  0.9575  0.9641
Br  0.3943  0.4575  0.4641
Br  0.6057  0.5425  0.9641
Br  0.8943  0.0425  0.4641
N  0.1224  0.2477  0.2894
N  0.3776  0.7477  0.7894
N  0.6224  0.2523  0.2894
N  0.8776  0.7523  0.7894

***

# 10
Na2H4PtC4Br2N4O2: relaxed, PBE.

a = 11.6225 Å, b = 15.0067 Å, c = 6.3300 Å
α = 90.00°, β = 90.00°, γ = 90.00°
Atoms (fractional coordinates):
Na  0.2421  0.0255  0.0352
Na  0.2421  0.4745  0.0352
Na  0.2579  0.5255  0.5352
Na  0.2579  0.9745  0.5352
Na  0.7421  0.0255  0.4648
Na  0.7421  0.4745  0.4648
Na  0.7579  0.5255  0.9648
Na  0.7579  0.9745  0.9648
H  0.0251  0.0104  0.7617
H  0.0251  0.4896  0.7617
H  0.0824  0.5802  0.8192
H  0.0824  0.9198  0.8192
H  0.4176  0.0802  0.3192
H  0.4176  0.4198  0.3192
H  0.4749  0.5104  0.2617
H  0.4749  0.9896  0.2617
H  0.5251  0.0104  0.7383
H  0.5251  0.4896  0.7383
H  0.5824  0.5802  0.6808
H  0.5824  0.9198  0.6808
H  0.9176  0.0802  0.1808
H  0.9176  0.4198  0.1808
H  0.9749  0.5104  0.2383
H  0.9749  0.9896  0.2383
Pt  0.0103  0.2500  0.5703
Pt  0.4897  0.7500  0.0703
Pt  0.5103  0.2500  0.9297
Pt  0.9897  0.7500  0.4297
C  0.0841  0.6533  0.2980
C  0.0841  0.8467  0.2980
C  0.1055  0.1563  0.4295
C  0.1055  0.3437  0.4295
C  0.3945  0.6563  0.9295
C  0.3945  0.8437  0.9295
C  0.4159  0.1533  0.7980
C  0.4159  0.3467  0.7980
C  0.5841  0.6533  0.2020
C  0.5841  0.8467  0.2020
C  0.6055  0.1563  0.0705
C  0.6055  0.3437  0.0705
C  0.8945  0.6563  0.5705
C  0.8945  0.8437  0.5705
C  0.9159  0.1533  0.7020
C  0.9159  0.3467  0.7020
Br  0.1247  0.7500  0.7436
Br  0.1403  0.2500  0.8888
Br  0.3598  0.7500  0.3888
Br  0.3753  0.2500  0.2436
Br  0.6247  0.7500  0.7564
Br  0.6402  0.2500  0.6112
Br  0.8598  0.7500  0.1112
Br  0.8753  0.2500  0.2564
N  0.1366  0.5929  0.2312
N  0.1366  0.9071  0.2312
N  0.1592  0.1020  0.3413
N  0.1592  0.3980  0.3413
N  0.3408  0.6020  0.8413
N  0.3408  0.8980  0.8413
N  0.3634  0.0929  0.7312
N  0.3634  0.4071  0.7312
N  0.6366  0.5929  0.2688
N  0.6366  0.9071  0.2688
N  0.6592  0.1020  0.1587
N  0.6592  0.3980  0.1587
N  0.8408  0.6020  0.6587
N  0.8408  0.8980  0.6587
N  0.8634  0.0929  0.7688
N  0.8634  0.4071  0.7688
O  0.1000  0.5182  0.7823
O  0.1000  0.9818  0.7823
O  0.4000  0.0182  0.2823
O  0.4000  0.4818  0.2823
O  0.6000  0.5182  0.7177
O  0.6000  0.9818  0.7177
O  0.9000  0.0182  0.2177
O  0.9000  0.4818  0.2177

***

no.,energy (eV/atom)
1,-5.850
2,-5.078
3,-6.225
4,-4.994
5,-6.019
6,-5.427
7,-6.564
8,-5.775
9,-5.639
10,-5.963